[1]
Material: LiZnAs2Se
Method: DFT, PBE
State: relaxed

Cell lengths 4.547, 4.547, 4.833 Å; angles 90.00, 90.00, 90.00 degrees
Element x y z (fractional)
Li 0.000 0.000 0.000
Zn 0.500 0.500 0.500
As 0.000 0.500 0.000
As 0.500 0.000 0.000
Se 0.000 0.000 0.500

Values from the calculation:
- size of the total moment (μB per formula unit) = 0.0
- energy above the most stable polymorph in this dataset (meV per atom) = 142
- raw total energy (eV per atom) = -2.736
- DOS(E_F) (states/eV per cell) = 2.88
- formation energy without anion corrections (eV per formula unit) = 2.291

=====

[2]
Material: LiZnAs2Se
Method: DFT, PBE
State: relaxed

Cell lengths 4.805, 4.805, 5.264 Å; angles 90.00, 90.00, 90.00 degrees
Element x y z (fractional)
Li 0.000 0.000 0.000
Zn 0.500 0.500 0.500
As 0.000 0.500 0.500
As 0.500 0.000 0.500
Se 0.500 0.500 0.000

Values from the calculation:
- size of the total moment (μB per formula unit) = 0.0
- energy above the most stable polymorph in this dataset (meV per atom) = 0
- raw total energy (eV per atom) = -2.878
- DOS(E_F) (states/eV per cell) = 3.73
- formation energy without anion corrections (eV per formula unit) = 1.581

=====

[3]
Material: LiZrAs2Se
Method: DFT, PBE
State: relaxed

Cell lengths 5.139, 5.139, 4.159 Å; angles 90.00, 90.00, 90.00 degrees
Element x y z (fractional)
Li 0.000 0.000 0.000
Zr 0.500 0.500 0.000
As 0.000 0.500 0.500
As 0.500 0.000 0.500
Se 0.000 0.000 0.500

Values from the calculation:
- size of the total moment (μB per formula unit) = 0.8
- energy above the most stable polymorph in this dataset (meV per atom) = 378
- raw total energy (eV per atom) = -4.502
- DOS(E_F) (states/eV per cell) = 3.87
- formation energy without anion corrections (eV per formula unit) = 0.737

=====

[4]
Material: LiZrAs2Se
Method: DFT, PBE
State: relaxed

Cell lengths 4.350, 4.350, 5.127 Å; angles 90.00, 90.00, 90.00 degrees
Element x y z (fractional)
Li 0.000 0.000 0.000
Zr 0.500 0.500 0.500
As 0.000 0.500 0.000
As 0.500 0.000 0.000
Se 0.000 0.000 0.500

Values from the calculation:
- size of the total moment (μB per formula unit) = 0.0
- energy above the most stable polymorph in this dataset (meV per atom) = 315
- raw total energy (eV per atom) = -4.564
- DOS(E_F) (states/eV per cell) = 2.50
- formation energy without anion corrections (eV per formula unit) = 0.424